## Sm3YHoEr (PBE-GGA)

Data for an optimized crystal structure of Sm3YHoEr.

It has space group Cmcm (No. 63), with a = 5.827 Å, b = 11.546 Å, c = 11.665 Å, α = 90.00°, β = 90.00° and γ = 90.00°. The inequivalent atoms are Sm at (0.000, 0.135, 0.250), Sm at (0.000, 0.331, 0.028), Y at (0.000, 0.170, 0.750), Ho at (0.000, 0.000, 0.000) and Er at (0.000, 0.477, 0.750).

Its density of states at the Fermi level is 42.9 states/eV per cell. The value obtained for the formation energy is 119 meV/atom.

=====

## PrSi2Se4 (PBE-GGA)

Data for an optimized crystal structure of PrSi2Se4.

It has space group I4/m (No. 87), with a = 7.628 Å, b = 7.628 Å, c = 6.305 Å, α = 90.00°, β = 90.00° and γ = 90.00°. The inequivalent atoms are Pr at (0.000, 0.000, 0.000), Si at (0.000, 0.500, 0.250) and Se at (0.153, 0.697, 0.500).

The formation energy from raw total energies is -2.88 eV per formula unit. Its density of states at the Fermi level is 8.5 states/eV per cell.

=====

## Cs2CaSn2Se4 (PBE-GGA)

Data for an optimized crystal structure of Cs2CaSn2Se4.

It has space group C2/m (No. 12), with a = 18.417 Å, b = 4.264 Å, c = 9.105 Å, α = 90.00°, β = 117.30° and γ = 90.00°. The inequivalent atoms are Cs at (0.120, 0.000, 0.051), Ca at (0.000, 0.000, 0.500), Sn at (0.188, 0.500, 0.540), Se at (0.035, 0.500, 0.302) and Se at (0.179, 0.000, 0.730).

The formation energy from raw total energies is -9.75 eV per formula unit.

=====

Which volume belongs to each record? In order, 784.8; 366.8; 635.3 Å³/cell.